Entry 1:
A plane-wave DFT calculation with PBE was carried out for YSc2Os2 after structural relaxation.

The value obtained for the energy is -8.53 eV per atom. The energy above the lowest structure with this stoichiometry is 0.00 eV per formula unit.

The structure belongs to space group P4/mbm (No. 127); the cell edges are 7.7423, 7.7423 and 3.2746 Å and the angles 90.00°, 90.00° and 90.00°. The inequivalent atoms are Y at (0.0000, 0.0000, 0.0000), Sc at (0.1416, 0.3584, 0.5000) and Os at (0.1534, 0.6534, 0.0000).

---

Entry 2:
A plane-wave DFT calculation with PBE was carried out for YSc2Os after structural relaxation.

The value obtained for the energy is -7.77 eV per atom. The energy above the lowest structure with this stoichiometry is 0.41 eV per formula unit.

The structure belongs to space group Imm2 (No. 44); the cell edges are 3.4482, 4.9097 and 10.4538 Å and the angles 90.00°, 90.00° and 90.00°. The inequivalent atoms are Y at (0.0000, 0.0000, 0.0000), Sc at (0.0000, 0.0000, 0.5956), Sc at (0.0000, 0.5000, 0.7923) and Os at (0.0000, 0.5000, 0.2858).

---

Entry 3:
A plane-wave DFT calculation with PBE was carried out for YSc3Os after structural relaxation.

The value obtained for the energy is -7.40 eV per atom. The energy above the lowest structure with this stoichiometry is 0.00 eV per formula unit.

The structure belongs to space group Pm-3m (No. 221); the cell edges are 5.0869, 5.0869 and 5.0869 Å and the angles 90.00°, 90.00° and 90.00°. The inequivalent atoms are Y at (0.0000, 0.0000, 0.0000), Sc at (0.0000, 0.5000, 0.5000) and Os at (0.5000, 0.5000, 0.5000).

---

Entry 4:
A plane-wave DFT calculation with PBE was carried out for YScOs2 after structural relaxation.

The value obtained for the energy is -8.37 eV per atom.

The structure belongs to space group I-42d (No. 122); the cell edges are 7.4808, 7.4808 and 5.5463 Å and the angles 90.00°, 90.00° and 90.00°. The inequivalent atoms are Y at (0.0000, 0.0000, 0.0000), Sc at (0.0000, 0.0000, 0.5000) and Os at (0.2357, 0.2500, 0.6250).

---

Entry 5:
A plane-wave DFT calculation with PBE was carried out for YScOs after structural relaxation.

The value obtained for the energy is -8.29 eV per atom. The energy above the lowest structure with this stoichiometry is 0.16 eV per formula unit.

The structure belongs to space group I4mm (No. 107); the cell edges are 3.3156, 3.3156 and 12.4202 Å and the angles 90.00°, 90.00° and 90.00°. The inequivalent atoms are Y at (0.0000, 0.0000, 0.0000), Sc at (0.0000, 0.0000, 0.7426) and Os at (0.0000, 0.0000, 0.3591).

---

Entry 6:
A plane-wave DFT calculation with PBE was carried out for YScOs2 after structural relaxation.

The value obtained for the energy is -8.92 eV per atom.

The structure belongs to space group Pm (No. 6); the cell edges are 4.2569, 4.2953 and 5.3124 Å and the angles 90.00°, 113.43° and 90.00°. The inequivalent atoms are Y at (0.0000, 0.0000, 0.0000), Sc at (0.2899, 0.5000, 0.5816), Os at (0.5987, 0.5000, 0.1976) and Os at (0.7036, 0.0000, 0.4105).

---

no.,mass density (g/cm³),total magnetic moment (μB per atom)
1,9.5,0.000
2,6.9,0.000
3,5.2,0.000
4,11.0,0.000
5,7.9,0.000
6,9.6,0.000